(1)
## TmNiGe3 (PBE)

Data for a geometry-optimized TmNiGe3 structure.

For the energy, the calculation gives -5.271 eV/atom. For the formation enthalpy at 0 K, the calculation gives -0.450 eV/atom. As for the crystal system: orthorhombic. Its space group is Pbcm.

Cell and atoms, written as POSCAR:
```
TmNiGe3
1.0
11.820 0.000 0.000
0.000 5.560 0.000
0.000 0.000 5.477
Tm Ni Ge
4 4 12
Direct
0.194 0.009 0.250 Tm
0.194 0.491 0.750 Tm
0.806 0.509 0.250 Tm
0.806 0.991 0.750 Tm
0.400 0.250 0.000 Ni
0.400 0.250 0.500 Ni
0.600 0.750 0.000 Ni
0.600 0.750 0.500 Ni
0.002 0.750 0.000 Ge
0.002 0.750 0.500 Ge
0.288 0.521 0.250 Ge
0.288 0.979 0.750 Ge
0.439 0.610 0.750 Ge
0.439 0.890 0.250 Ge
0.561 0.110 0.750 Ge
0.561 0.390 0.250 Ge
0.712 0.021 0.250 Ge
0.712 0.479 0.750 Ge
0.998 0.250 0.000 Ge
0.998 0.250 0.500 Ge
```

***

(2)
## Tm2Ni15Ge2 (PBE)

Data for a geometry-optimized Tm2Ni15Ge2 structure.

For the energy, the calculation gives -5.763 eV/atom. For the formation enthalpy at 0 K, the calculation gives -0.242 eV/atom. As for the crystal system: trigonal. Its space group is R-3m.

Cell and atoms, written as POSCAR:
```
Tm2Ni15Ge2
1.0
4.155 2.399 4.076
-4.155 2.399 4.076
0.000 -4.797 4.076
Tm Ni Ge
2 15 2
Direct
0.150 0.150 0.150 Tm
0.850 0.850 0.850 Tm
0.000 0.500 0.500 Ni
0.155 0.155 0.656 Ni
0.155 0.656 0.155 Ni
0.196 0.500 0.804 Ni
0.196 0.804 0.500 Ni
0.344 0.845 0.845 Ni
0.500 0.000 0.500 Ni
0.500 0.196 0.804 Ni
0.500 0.500 0.000 Ni
0.500 0.804 0.196 Ni
0.656 0.155 0.155 Ni
0.804 0.196 0.500 Ni
0.804 0.500 0.196 Ni
0.845 0.344 0.845 Ni
0.845 0.845 0.344 Ni
0.394 0.394 0.394 Ge
0.606 0.606 0.606 Ge
```

***

(3)
## Tm4Ni3Ge (PBE)

Data for a geometry-optimized Tm4Ni3Ge structure.

For the energy, the calculation gives -5.564 eV/atom. For the formation enthalpy at 0 K, the calculation gives -0.583 eV/atom. As for the crystal system: orthorhombic. Its space group is Pmm2.

Cell and atoms, written as POSCAR:
```
Tm4Ni3Ge
1.0
3.866 0.000 0.000
0.000 4.048 0.000
0.000 0.000 10.251
Tm Ni Ge
4 3 1
Direct
0.000 0.000 0.000 Tm
0.000 0.500 0.275 Tm
0.500 0.000 0.488 Tm
0.500 0.500 0.778 Tm
0.000 0.500 0.558 Ni
0.500 0.000 0.203 Ni
0.500 0.500 0.063 Ni
0.000 0.000 0.707 Ge
```

***

(4)
## Tm7Ni2Ge2 (PBE)

Data for a geometry-optimized Tm7Ni2Ge2 structure.

For the energy, the calculation gives -5.050 eV/atom. For the formation enthalpy at 0 K, the calculation gives -0.314 eV/atom. As for the crystal system: orthorhombic. Its space group is Cmmm.

Cell and atoms, written as POSCAR:
```
Tm7Ni2Ge2
1.0
3.800 -5.350 0.000
3.800 5.350 0.000
0.000 0.000 6.674
Tm Ni Ge
7 2 2
Direct
0.000 0.000 0.000 Tm
0.000 0.500 0.255 Tm
0.000 0.500 0.745 Tm
0.500 0.000 0.255 Tm
0.500 0.000 0.745 Tm
0.500 0.500 0.244 Tm
0.500 0.500 0.756 Tm
0.291 0.709 0.000 Ni
0.709 0.291 0.000 Ni
0.173 0.173 0.500 Ge
0.827 0.827 0.500 Ge
```

***

(5)
## YTmNiGe (PBE)

Data for a geometry-optimized YTmNiGe structure.

For the energy, the calculation gives -5.890 eV/atom. For the formation enthalpy at 0 K, the calculation gives -0.557 eV/atom. As for the crystal system: cubic. Its space group is F-43m.

Cell and atoms, written as POSCAR:
```
YTmNiGe
1.0
0.000 3.462 3.462
3.462 0.000 3.462
3.462 3.462 0.000
Y Tm Ni Ge
1 1 1 1
Direct
0.000 0.000 0.000 Y
0.500 0.500 0.500 Tm
0.750 0.750 0.750 Ni
0.250 0.250 0.250 Ge
```

***

(6)
## TmZnNi5Ge2 (PBE)

Data for a geometry-optimized TmZnNi5Ge2 structure.

For the energy, the calculation gives -5.029 eV/atom. For the formation enthalpy at 0 K, the calculation gives -0.153 eV/atom. As for the crystal system: tetragonal. Its space group is P4/mmm.

Cell and atoms, written as POSCAR:
```
TmZnNi5Ge2
1.0
3.929 0.000 0.000
0.000 3.929 0.000
0.000 0.000 8.542
Tm Zn Ni Ge
1 1 5 2
Direct
0.000 0.000 0.000 Tm
0.000 0.000 0.500 Zn
0.000 0.500 0.221 Ni
0.000 0.500 0.779 Ni
0.500 0.000 0.221 Ni
0.500 0.000 0.779 Ni
0.500 0.500 0.000 Ni
0.500 0.500 0.360 Ge
0.500 0.500 0.640 Ge
```

***

(7)
## TmZnNi4Ge2 (PBE)

Data for a geometry-optimized TmZnNi4Ge2 structure.

For the energy, the calculation gives -5.162 eV/atom. For the formation enthalpy at 0 K, the calculation gives -0.399 eV/atom. As for the crystal system: trigonal. Its space group is R-3m.

Cell and atoms, written as POSCAR:
```
TmZnNi4Ge2
1.0
2.019 1.166 8.094
-2.019 1.166 8.094
0.000 -2.331 8.094
Tm Zn Ni Ge
1 1 4 2
Direct
0.000 0.000 0.000 Tm
0.500 0.500 0.500 Zn
0.131 0.131 0.131 Ni
0.403 0.403 0.403 Ni
0.597 0.597 0.597 Ni
0.869 0.869 0.869 Ni
0.246 0.246 0.246 Ge
0.754 0.754 0.754 Ge
```

***

(8)
## Tm3Zn2Ni9Ge (PBE)

Data for a geometry-optimized Tm3Zn2Ni9Ge structure.

For the energy, the calculation gives -4.887 eV/atom. For the formation enthalpy at 0 K, the calculation gives -0.046 eV/atom. As for the crystal system: trigonal. Its space group is P-3m1.

Cell and atoms, written as POSCAR:
```
Tm3Zn2Ni9Ge
1.0
5.966 0.000 0.000
-2.983 5.166 0.000
0.000 0.000 8.391
Tm Zn Ni Ge
3 2 9 1
Direct
0.000 0.000 0.000 Tm
0.333 0.667 0.723 Tm
0.667 0.333 0.277 Tm
0.333 0.667 0.188 Zn
0.667 0.333 0.812 Zn
0.000 0.500 0.000 Ni
0.133 0.265 0.279 Ni
0.133 0.867 0.279 Ni
0.265 0.133 0.721 Ni
0.500 0.000 0.000 Ni
0.500 0.500 0.000 Ni
0.735 0.867 0.279 Ni
0.867 0.133 0.721 Ni
0.867 0.735 0.721 Ni
0.000 0.000 0.500 Ge
```

***

no.,total moment (μB/cell),ρ (g/cm³)
1,0.00,8.2
2,4.23,9.3
3,0.00,9.6
4,0.00,8.8
5,0.00,7.8
6,0.00,8.5
7,0.00,8.9
8,0.00,8.0